A relaxed NbZnNi6 crystal, computed with PBE-GGA.

Lattice parameters (Å, degrees): 3.6492 3.6492 7.1676 90.00 90.00 90.00
Closest atoms and distances in Å follow each position.
Element x y z (fractional)
1 Ni 0.0000 0.5000 0.7459  8 Ni 2.54-2.58, 2 Zn 2.54, 2 Nb 2.58
2 Zn 0.0000 0.0000 0.5000  12 Ni 2.54-2.58
3 Ni 0.5000 0.0000 0.7459  8 Ni 2.54-2.58, 2 Zn 2.54, 2 Nb 2.58
4 Ni 0.5000 0.5000 0.5000  8 Ni 2.54, 4 Zn 2.58
5 Ni 0.5000 0.5000 0.0000  8 Ni 2.58, 4 Nb 2.58
6 Ni 0.5000 0.0000 0.2541  8 Ni 2.54-2.58, 2 Zn 2.54, 2 Nb 2.58
7 Ni 0.0000 0.5000 0.2541  2 Zn 2.54, 8 Ni 2.54-2.58, 2 Nb 2.58
8 Nb 0.0000 0.0000 0.0000  12 Ni 2.58

Calculated values
Mass density in g/cm³: 8.9
Formation energy in eV per formula unit: -2.0
SG: P4/mmm